Entry 1:
## K5Li (PBE-GGA)

Data for crystalline K5Li at its relaxed geometry.

```
K5Li
1.0
3.165 -9.613 0.000
3.165 9.613 0.000
0.000 0.000 6.157
K Li
5 1
Cartesian
0.000 0.000 0.000 K
3.165 6.600 3.079 K
3.165 2.998 0.000 K
3.165 -2.998 0.000 K
3.165 -6.600 3.079 K
3.165 0.000 3.079 Li
```

## Properties
Theoretical density = 0.9 g/cm³
N(E_F) = 3.97 states/eV per cell
Formation energy = 0.4 eV/f.u.

Entry 2:
## KLi3 (PBE-GGA)

Data for crystalline KLi3 at its relaxed geometry.

```
KLi3
1.0
-2.481 2.481 5.162
2.481 -2.481 5.162
2.481 2.481 -5.162
K Li
1 3
Cartesian
0.000 0.000 0.000 K
2.481 0.000 2.581 Li
0.000 0.000 5.162 Li
0.000 2.481 2.581 Li
```

## Properties
Theoretical density = 0.8 g/cm³
N(E_F) = 1.97 states/eV per cell
Formation energy = 0.7 eV/f.u.

Entry 3:
## KLi (PBE-GGA)

Data for crystalline KLi at its relaxed geometry.

```
KLi
1.0
7.336 0.000 0.000
0.000 7.336 0.000
0.000 0.000 7.278
K Li
4 4
Cartesian
1.373 1.373 0.000 K
2.294 5.041 3.639 K
5.041 2.294 3.639 K
5.962 5.962 0.000 K
1.112 1.112 3.639 Li
2.556 4.780 0.000 Li
4.780 2.556 0.000 Li
6.224 6.224 3.639 Li
```

## Properties
Theoretical density = 0.8 g/cm³
N(E_F) = 6.61 states/eV per cell
Formation energy = 0.5 eV/f.u.

Entry 4:
## K6Li7 (PBE-GGA)

Data for crystalline K6Li7 at its relaxed geometry.

```
K6Li7
1.0
3.410 1.969 13.303
-3.410 1.969 13.303
0.000 -3.938 13.303
K Li
6 7
Cartesian
0.000 0.000 2.132 K
0.000 0.000 6.114 K
0.000 0.000 13.178 K
0.000 0.000 26.731 K
0.000 0.000 33.795 K
0.000 0.000 37.776 K
-1.643 -0.948 17.144 Li
0.000 -1.897 22.764 Li
-1.643 0.948 22.764 Li
0.000 0.000 19.954 Li
1.643 -0.948 17.144 Li
0.000 1.897 17.144 Li
1.643 0.948 22.764 Li
```

## Properties
Theoretical density = 0.9 g/cm³
N(E_F) = 5.10 states/eV per cell
Formation energy = 1.5 eV/f.u.

Entry 5:
## KLi2 (PBE-GGA)

Data for crystalline KLi2 at its relaxed geometry.

```
KLi2
1.0
4.235 0.000 0.000
0.000 4.253 0.000
0.030 2.075 12.502
K Li
2 4
Cartesian
1.060 1.055 1.925 K
3.206 5.272 10.577 K
1.075 5.296 7.342 Li
1.075 3.160 5.144 Li
3.191 3.168 7.358 Li
3.191 1.031 5.160 Li
```

## Properties
Theoretical density = 0.8 g/cm³
N(E_F) = 3.77 states/eV per cell
Formation energy = 0.3 eV/f.u.

Entry 6:
## KLi (PBE-GGA)

Data for crystalline KLi at its relaxed geometry.

```
KLi
1.0
10.381 0.000 0.000
0.000 10.381 0.000
0.000 0.000 10.381
K Li
6 6
Cartesian
0.000 2.595 5.191 K
0.000 7.786 5.191 K
2.595 5.191 0.000 K
5.191 0.000 2.595 K
5.191 0.000 7.786 K
7.786 5.191 0.000 K
0.000 5.191 2.595 Li
0.000 5.191 7.786 Li
2.595 0.000 5.191 Li
5.191 2.595 0.000 Li
5.191 7.786 0.000 Li
7.786 0.000 5.191 Li
```

## Properties
Theoretical density = 0.4 g/cm³
N(E_F) = 7.18 states/eV per cell
Formation energy = 1.1 eV/f.u.

Entry 7:
## KLi2 (PBE-GGA)

Data for crystalline KLi2 at its relaxed geometry.

```
KLi2
1.0
0.000 4.710 4.710
4.710 0.000 4.710
4.710 4.710 0.000
K Li
2 4
Cartesian
1.178 1.178 1.178 K
8.243 8.243 8.243 K
4.710 2.355 2.355 Li
2.355 4.710 2.355 Li
2.355 2.355 4.710 Li
4.710 4.710 4.710 Li
```

## Properties
Theoretical density = 0.8 g/cm³
N(E_F) = 3.36 states/eV per cell
Formation energy = 0.3 eV/f.u.

Entry 8:
## K5Li3 (PBE-GGA)

Data for crystalline K5Li3 at its relaxed geometry.

```
K5Li3
1.0
11.241 0.000 0.000
-5.621 9.735 0.000
0.000 0.000 7.652
K Li
10 6
Cartesian
-1.390 2.408 1.913 K
-4.230 7.327 5.739 K
2.781 0.000 1.913 K
1.390 2.408 5.739 K
0.000 6.490 0.000 K
0.000 6.490 3.826 K
5.621 3.245 0.000 K
5.621 3.245 3.826 K
8.461 0.000 5.739 K
4.230 7.327 1.913 K
-2.318 4.016 5.739 Li
-3.302 5.720 1.913 Li
4.637 0.000 5.739 Li
2.318 4.016 1.913 Li
6.605 0.000 1.913 Li
3.302 5.720 5.739 Li
```

## Properties
Theoretical density = 0.9 g/cm³
N(E_F) = 10.86 states/eV per cell
Formation energy = 1.1 eV/f.u.

> Which of these has the lowest theoretical density?

number 6

> Look up the N(E_F) of the seventh one.

3.36 states/eV per cell